Material: Ta2TlAu
Method: DFT, PBE-GGA
State: relaxed

Structure (POSCAR):
```
Ta2TlAu
1.0
-2.353 1.210 1.315
-1.092 -2.423 -1.290
1.794 -4.935 7.750
Au Tl Ta
1 1 2
direct
0.500 0.500 0.771 Au
0.000 0.000 0.499 Tl
0.500 0.500 0.231 Ta
0.000 0.000 0.999 Ta
```

Summary:
symmetry = No. 35
E_tot = -7.16 eV per atom